1.
The following is a SCAN calculation of a crystal of ZrZnRe2 relaxed with PBEsol, from the Alexandria database.

Lattice parameters (Å, degrees): 5.309 5.309 2.723 101.50 101.50 117.98
Element x y z (fractional)
1 Zr 0.000 0.000 0.000
2 Zn 0.500 0.500 0.000
3 Re 0.000 0.500 0.500
4 Re 0.500 0.000 0.500

Properties
crystal system: monoclinic
DFT formation energy: 0.05 eV/atom

---

2.
The following is a SCAN calculation of a crystal of Li2Zr2Os relaxed with PBEsol, from the Alexandria database.

Lattice parameters (Å, degrees): 9.303 9.303 9.303 160.42 160.42 27.82
Element x y z (fractional)
1 Li 0.250 0.750 0.500
2 Li 0.750 0.250 0.500
3 Zr 0.092 0.092 0.000
4 Zr 0.908 0.908 0.000
5 Os 0.500 0.500 0.000

Properties
crystal system: tetragonal
DFT formation energy: 0.04 eV/atom

---

3.
The following is a SCAN calculation of a crystal of TaSiNi relaxed with PBEsol, from the Alexandria database.

Lattice parameters (Å, degrees): 6.152 3.669 6.988 90.00 90.00 90.00
Element x y z (fractional)
1 Ta 0.016 0.250 0.178
2 Ta 0.484 0.750 0.678
3 Ta 0.516 0.250 0.322
4 Ta 0.984 0.750 0.822
5 Si 0.218 0.750 0.386
6 Si 0.282 0.250 0.886
7 Si 0.718 0.750 0.114
8 Si 0.782 0.250 0.614
9 Ni 0.157 0.250 0.570
10 Ni 0.343 0.750 0.070
11 Ni 0.657 0.250 0.930
12 Ni 0.843 0.750 0.430

Properties
crystal system: orthorhombic
energy relative to the elements, uncorrected: -688.4 meV per atom

---

4.
The following is a SCAN calculation of a crystal of Mg3Cu3As4O16 relaxed with PBEsol, from the Alexandria database.

Lattice parameters (Å, degrees): 8.531 5.051 15.572 90.00 111.86 90.00
Element x y z (fractional)
1 Mg 0.000 0.000 0.000
2 Mg 0.000 0.500 0.500
3 Mg 0.315 0.045 0.290
4 Mg 0.315 0.455 0.790
5 Mg 0.685 0.545 0.210
6 Mg 0.685 0.955 0.710
7 Cu 0.204 0.504 0.377
8 Cu 0.204 0.996 0.877
9 Cu 0.500 0.000 0.500
10 Cu 0.500 0.500 0.000
11 Cu 0.796 0.004 0.123
12 Cu 0.796 0.496 0.623
13 As 0.038 0.010 0.650
14 As 0.038 0.490 0.150
15 As 0.414 0.501 0.600
16 As 0.414 0.999 0.100
17 As 0.586 0.001 0.900
18 As 0.586 0.499 0.400
19 As 0.962 0.510 0.850
20 As 0.962 0.990 0.350
21 O 0.025 0.676 0.631
22 O 0.025 0.824 0.131
23 O 0.100 0.180 0.575
24 O 0.100 0.320 0.075
25 O 0.154 0.610 0.846
26 O 0.154 0.890 0.346
27 O 0.193 0.094 0.757
28 O 0.193 0.406 0.257
29 O 0.240 0.577 0.505
30 O 0.240 0.923 0.005
31 O 0.401 0.600 0.699
32 O 0.401 0.900 0.199
33 O 0.427 0.206 0.913
34 O 0.427 0.294 0.413
35 O 0.494 0.186 0.605
36 O 0.494 0.314 0.105
37 O 0.506 0.686 0.895
38 O 0.506 0.814 0.395
39 O 0.573 0.706 0.587
40 O 0.573 0.794 0.087
41 O 0.599 0.100 0.801
42 O 0.599 0.400 0.301
43 O 0.760 0.077 0.995
44 O 0.760 0.423 0.495
45 O 0.807 0.594 0.743
46 O 0.807 0.906 0.243
47 O 0.846 0.110 0.654
48 O 0.846 0.390 0.154
49 O 0.900 0.680 0.925
50 O 0.900 0.820 0.425
51 O 0.975 0.176 0.869
52 O 0.975 0.324 0.369

Properties
crystal system: monoclinic
energy relative to the elements, uncorrected: -1663.5 meV per atom

---

Number 1: energy -46.5554 eV/atom. Number 2: energy -27.5752 eV/atom. Number 3: energy -31.6126 eV/atom. Number 4: energy -10.9320 eV/atom.